First-principles (PBE) data for a geometry-optimized CoMoRu2 structure, as listed in the Alexandria database.

Geometry as POSCAR:
```
CoMoRu2
1.0
3.143 0.000 0.000
0.000 3.143 0.000
0.000 0.000 5.591
Co Mo Ru
1 1 2
direct
0.000 0.000 0.491
0.500 0.500 0.724
0.000 0.000 0.996
0.500 0.500 0.289
```

Values from the calculation:
* distance to the lowest polymorph of the same formula: 227 meV/atom
* space-group type: P4mm, No. 99
* energy of formation: 0.231 eV/atom
* spin magnetization: 0.00 μB per atom
* E_tot: -35.56 eV/cell